# CsMoAs2O8

A relaxed CsMoAs2O8 crystal (PBE+U, Alexandria).

Values from the calculation:
Crystal system: trigonal
ρ: 3.8 Mg/m³
VASP energy: -6.1589 eV per atom
N(E_F): 3.102 states/eV per cell

abc: 5.1645 5.1645 9.5498
angles: 90.00 90.00 120.00
With the nearest neighbours (Å) after each atom.
Fractional positions:
O  0.3316  0.2869  0.3777  1 As 1.75
O  0.0447  0.3316  0.6223  1 As 1.75
O  0.2869  0.9553  0.6223  1 As 1.75
O  0.9553  0.6684  0.3777  1 As 1.75
O  0.7131  0.0447  0.3777  1 As 1.75
O  0.6684  0.7131  0.6223  1 As 1.75
O  0.3333  0.6667  0.8639  1 As 1.66
O  0.6667  0.3333  0.1361  1 As 1.66
Mo  0.0000  0.0000  0.5000  6 O 1.99
As  0.3333  0.6667  0.6898  4 O 1.66-1.75
As  0.6667  0.3333  0.3102  4 O 1.66-1.75
Cs  0.0000  0.0000  0.0000  6 O 3.25